Here is a relaxed structure of SiAsSe2 from the Alexandria database. Energies are from GGA-PBE.

Summary:
Uncorrected formation energy, meV per atom: 226
E_tot, eV per atom: -4.035
N(E_F), states/eV per cell: 1.80
ΔE to the lowest computed polymorph, meV per atom: 233

abc: 7.021 7.021 7.021
angles: 148.47 146.53 46.64
Fractional positions:
Si 0.000 0.000 0.000
As 0.500 0.500 0.000
Se 0.143 0.643 0.500
Se 0.857 0.357 0.500

Here is a relaxed structure of SiAsSe2 from the Alexandria database. Energies are from GGA-PBE.

Summary:
Uncorrected formation energy, meV per atom: 257
E_tot, eV per atom: -4.004
N(E_F), states/eV per cell: 3.79
ΔE to the lowest computed polymorph, meV per atom: 264

abc: 6.141 6.141 6.141
angles: 110.16 110.16 108.09
Fractional positions:
Si 0.000 0.000 0.000
Si 0.750 0.250 0.500
As 0.250 0.750 0.500
As 0.500 0.500 0.000
Se 0.108 0.625 0.983
Se 0.375 0.358 0.483
Se 0.642 0.125 0.017
Se 0.875 0.892 0.517